# Li2TcAgPd, relaxed, DFT GGA-PBE
data_Li2TcAgPd
_chemical_formula_sum 'Li2 Tc1 Ag1 Pd1'
_symmetry_space_group_name_H-M 'P 1'
_symmetry_Int_Tables_number 1
_cell_length_a 4.3819
_cell_length_b 5.1710
_cell_length_c 4.3819
_cell_angle_alpha 90.00
_cell_angle_beta 90.00
_cell_angle_gamma 90.00
loop_
_symmetry_equiv_pos_as_xyz
'x,y,z'
loop_
_atom_site_label
_atom_site_type_symbol
_atom_site_fract_x
_atom_site_fract_y
_atom_site_fract_z
Li1 Li 0.0000 0.0000 0.5000
Li2 Li 0.5000 0.0000 0.0000
Pd1 Pd 0.5000 0.5000 0.5000
Ag1 Ag 0.0000 0.0000 0.0000
Tc1 Tc 0.0000 0.5000 0.0000
# Energy of formation from the pure elements in eV/f.u.: 4.6
# Calculated volume in Å³ per atom: 19.858